[1]
## Pr4TlSbTe2 (PBE)

Data for Pr4TlSbTe2 after structural relaxation.

```
Pr4TlSbTe2
1.0
7.9274 0.0000 0.0000
0.0000 4.4874 0.0000
-2.5528 0.0000 7.5097
Pr Tl Sb Te
4 1 1 2
direct
0.2472 0.0000 0.2416
0.2496 0.5000 0.7532
0.7504 0.5000 0.2468
0.7528 0.0000 0.7584
0.5000 0.0000 0.0000
0.0000 0.5000 0.0000
0.0000 0.0000 0.5000
0.5000 0.5000 0.5000
```

Properties
The space-group type is P2/m (10).

[2]
## Pr6Tl2SbTe3 (PBE)

Data for Pr6Tl2SbTe3 after structural relaxation.

```
Pr6Tl2SbTe3
1.0
10.0258 -2.2301 0.0000
10.0258 2.2301 0.0000
-2.5150 0.0000 8.9539
Pr Tl Sb Te
6 2 1 3
direct
0.0022 0.0022 0.2452
0.3353 0.3353 0.4098
0.3348 0.3348 0.9138
0.6652 0.6652 0.0862
0.6647 0.6647 0.5902
0.9978 0.9978 0.7548
0.1695 0.1695 0.3414
0.8305 0.8305 0.6586
0.5000 0.5000 0.0000
0.1648 0.1648 0.8379
0.5000 0.5000 0.5000
0.8352 0.8352 0.1621
```

Properties
The space-group type is C2/m (12).

[3]
## PrTl2SbTe4 (PBE)

Data for PrTl2SbTe4 after structural relaxation.

```
PrTl2SbTe4
1.0
7.9379 0.0000 0.0000
0.0000 4.5475 0.0000
-2.6298 0.0000 8.0593
Pr Tl Sb Te
1 2 1 4
direct
0.0000 0.0000 0.0000
0.0000 0.5000 0.5000
0.5000 0.0000 0.5000
0.5000 0.5000 0.0000
0.2483 0.5000 0.2193
0.2690 0.0000 0.7844
0.7310 0.0000 0.2156
0.7517 0.5000 0.7807
```

Properties
The space-group type is P2/m (10).

[4]
## PrTmSbTe (PBE)

Data for PrTmSbTe after structural relaxation.

```
PrTmSbTe
1.0
2.2127 1.2775 7.2947
-2.2127 1.2775 7.2947
0.0000 -2.5550 7.2947
Pr Tm Sb Te
1 1 1 1
direct
0.0000 0.0000 0.0000
0.5074 0.5074 0.5074
0.2482 0.2482 0.2482
0.7592 0.7592 0.7592
```

Properties
The space-group type is R3m (160).

[5]
## Pr2TmSb2Te2 (PBE)

Data for Pr2TmSb2Te2 after structural relaxation.

```
Pr2TmSb2Te2
1.0
-2.8433 2.8433 7.8745
2.8433 -2.8433 7.8745
2.8433 2.8433 -7.8745
Pr Tm Sb Te
2 1 2 2
direct
0.1173 0.1173 0.0000
0.8827 0.8827 0.0000
0.5000 0.5000 0.0000
0.0000 0.5000 0.5000
0.5000 0.0000 0.5000
0.3100 0.3100 0.0000
0.6900 0.6900 0.0000
```

Properties
The space-group type is I4/mmm (139).

[6]
## PrYSbTe (PBE)

Data for PrYSbTe after structural relaxation.

```
PrYSbTe
1.0
2.2349 1.2903 7.2800
-2.2349 1.2903 7.2800
0.0000 -2.5806 7.2800
Pr Y Sb Te
1 1 1 1
direct
0.0000 0.0000 0.0000
0.5070 0.5070 0.5070
0.2496 0.2496 0.2496
0.7574 0.7574 0.7574
```

Properties
The space-group type is R3m (160).

[7]
## PrThSb2 (PBE)

Data for PrThSb2 after structural relaxation.

```
PrThSb2
1.0
2.2663 1.3085 7.3957
-2.2663 1.3085 7.3957
0.0000 -2.6169 7.3957
Pr Th Sb
1 1 2
direct
0.0000 0.0000 0.0000
0.5000 0.5000 0.5000
0.2487 0.2487 0.2487
0.7513 0.7513 0.7513
```

Properties
Its distance to the lowest polymorph of the same formula is 3 meV/atom. The space-group type is R-3m (166).

[8]
## Pr2Th2Sb5 (PBE)

Data for Pr2Th2Sb5 after structural relaxation.

```
Pr2Th2Sb5
1.0
7.9737 -4.2007 0.0000
7.9737 4.2007 0.0000
0.0000 0.0000 8.4435
Pr Th Sb
4 4 10
direct
0.1536 0.8464 0.8439
0.3464 0.6536 0.3439
0.6536 0.3464 0.6561
0.8464 0.1536 0.1561
0.1930 0.1930 0.5000
0.3070 0.3070 0.0000
0.6930 0.6930 0.0000
0.8070 0.8070 0.5000
0.0000 0.0000 0.5000
0.0126 0.7031 0.1528
0.2031 0.5126 0.6528
0.2969 0.9874 0.1528
0.4874 0.7969 0.6528
0.5000 0.5000 0.0000
0.5126 0.2031 0.3472
0.7031 0.0126 0.8472
0.7969 0.4874 0.3472
0.9874 0.2969 0.8472
```

Properties
The space-group type is Cmce (64).

Spin magnetization values (in μB/f.u.) by entry order: 0.00, 0.00, 0.00, 0.00, 0.00, 0.00, 0.00, 0.00.
Formation energy without anion corrections values (in meV/atom) by entry order: -1130, -1048, -637, -1264, -809, -1322, -1065, -914.